[1]
Computed, not measured: a geometry-optimized InPtCl2 structure at the PBE-GGA level of DFT.

Structure (CIF):
```
data_InPtCl2
_space_group_name_H-M_alt 'P 1'
_space_group_IT_number 1
_space_group_name_Hall 'P 1'
_cell_length_a 3.6107
_cell_length_b 3.6107
_cell_length_c 8.6030
_cell_angle_alpha 90.00
_cell_angle_beta 90.00
_cell_angle_gamma 90.00
loop_
_atom_site_label
_atom_site_fract_x
_atom_site_fract_y
_atom_site_fract_z
In1 0.0000 0.0000 0.0000
Pt1 0.5000 0.5000 0.8741
Cl1 0.0000 0.0000 0.2733
Cl2 0.5000 0.5000 0.6133
```

Results
Energy relative to the lowest polymorph listed for this composition (meV/atom): 190

***

[2]
Computed, not measured: a geometry-optimized Pm3InAg structure at the PBE-GGA level of DFT.

Structure (CIF):
```
data_Pm3InAg
_space_group_name_H-M_alt 'P 1'
_space_group_IT_number 1
_space_group_name_Hall 'P 1'
_cell_length_a 10.5290
_cell_length_b 10.5290
_cell_length_c 5.3376
_cell_angle_alpha 90.00
_cell_angle_beta 90.00
_cell_angle_gamma 150.62
loop_
_atom_site_label
_atom_site_fract_x
_atom_site_fract_y
_atom_site_fract_z
Pm1 0.0590 0.9410 0.7500
Pm2 0.2485 0.7515 0.7500
Pm3 0.4360 0.5640 0.7500
Pm4 0.5640 0.4360 0.2500
Pm5 0.7515 0.2485 0.2500
Pm6 0.9410 0.0590 0.2500
In1 0.1539 0.8461 0.2500
In2 0.8461 0.1539 0.7500
Ag1 0.3458 0.6542 0.2500
Ag2 0.6542 0.3458 0.7500
```

Results
Energy relative to the lowest polymorph listed for this composition (meV/atom): 0
E_form (eV per formula unit): -1.37

***

[3]
Computed, not measured: a geometry-optimized Li4CdPb2 structure at the PBE-GGA level of DFT.

Structure (CIF):
```
data_Li4CdPb2
_space_group_name_H-M_alt 'P 1'
_space_group_IT_number 1
_space_group_name_Hall 'P 1'
_cell_length_a 5.1881
_cell_length_b 5.7665
_cell_length_c 9.9103
_cell_angle_alpha 90.00
_cell_angle_beta 100.19
_cell_angle_gamma 90.00
loop_
_atom_site_label
_atom_site_fract_x
_atom_site_fract_y
_atom_site_fract_z
Li1 0.0848 0.2500 0.3912
Li2 0.3147 0.2500 0.9684
Li3 0.3654 0.5030 0.2141
Li4 0.3654 0.9970 0.2141
Li5 0.6346 0.0030 0.7859
Li6 0.6346 0.4970 0.7859
Li7 0.6853 0.7500 0.0316
Li8 0.9152 0.7500 0.6088
Cd1 0.1413 0.2500 0.6942
Cd2 0.8587 0.7500 0.3058
Pb1 0.1495 0.7500 0.8962
Pb2 0.3749 0.7500 0.5038
Pb3 0.6251 0.2500 0.4962
Pb4 0.8505 0.2500 0.1038
```

Results
Energy relative to the lowest polymorph listed for this composition (meV/atom): 0
E_form (eV per formula unit): -1.59

***

[4]
Computed, not measured: a geometry-optimized PmNbBiO6 structure at the PBE-GGA level of DFT.

Structure (CIF):
```
data_PmNbBiO6
_space_group_name_H-M_alt 'P 1'
_space_group_IT_number 1
_space_group_name_Hall 'P 1'
_cell_length_a 5.0963
_cell_length_b 5.0963
_cell_length_c 10.3272
_cell_angle_alpha 90.00
_cell_angle_beta 90.00
_cell_angle_gamma 90.83
loop_
_atom_site_label
_atom_site_fract_x
_atom_site_fract_y
_atom_site_fract_z
Pm1 0.0000 0.0000 0.0000
Pm2 0.5000 0.5000 0.4994
Nb1 0.0000 0.0000 0.3310
Nb2 0.5000 0.5000 0.8300
Bi1 0.0000 0.0000 0.6724
Bi2 0.5000 0.5000 0.1652
O1 0.1845 0.1845 0.4672
O2 0.1975 0.1975 0.1805
O3 0.2180 0.2180 0.8325
O4 0.2884 0.7116 0.3184
O5 0.3173 0.6827 0.6909
O6 0.3227 0.6773 0.9971
O7 0.6773 0.3227 0.9971
O8 0.6827 0.3173 0.6909
O9 0.7116 0.2884 0.3184
O10 0.7820 0.7820 0.8325
O11 0.8025 0.8025 0.1805
O12 0.8155 0.8155 0.4672
```

Results
Raw total energy (eV per cell): -137.594

***

[5]
Computed, not measured: a geometry-optimized Ba2Bi2S structure at the PBE-GGA level of DFT.

Structure (CIF):
```
data_Ba2Bi2S
_space_group_name_H-M_alt 'P 1'
_space_group_IT_number 1
_space_group_name_Hall 'P 1'
_cell_length_a 8.5177
_cell_length_b 8.5177
_cell_length_c 5.6395
_cell_angle_alpha 90.00
_cell_angle_beta 90.00
_cell_angle_gamma 90.00
loop_
_atom_site_label
_atom_site_fract_x
_atom_site_fract_y
_atom_site_fract_z
Ba1 0.1811 0.3189 0.0000
Ba2 0.3189 0.8189 0.0000
Ba3 0.6811 0.1811 0.0000
Ba4 0.8189 0.6811 0.0000
Bi1 0.1197 0.6197 0.5000
Bi2 0.3803 0.1197 0.5000
Bi3 0.6197 0.8803 0.5000
Bi4 0.8803 0.3803 0.5000
S1 0.0000 0.0000 0.0000
S2 0.5000 0.5000 0.0000
```

Results
Energy relative to the lowest polymorph listed for this composition (meV/atom): 0

***

[6]
Computed, not measured: a geometry-optimized TlAs2Rh2 structure at the PBE-GGA level of DFT.

Structure (CIF):
```
data_TlAs2Rh2
_space_group_name_H-M_alt 'P 1'
_space_group_IT_number 1
_space_group_name_Hall 'P 1'
_cell_length_a 7.7168
_cell_length_b 7.7168
_cell_length_c 3.0591
_cell_angle_alpha 90.00
_cell_angle_beta 90.00
_cell_angle_gamma 90.00
loop_
_atom_site_label
_atom_site_fract_x
_atom_site_fract_y
_atom_site_fract_z
Tl1 0.0000 0.0000 0.0000
Tl2 0.5000 0.5000 0.0000
As1 0.1387 0.3613 0.5000
As2 0.3613 0.8613 0.5000
As3 0.6387 0.1387 0.5000
As4 0.8613 0.6387 0.5000
Rh1 0.1330 0.6330 0.0000
Rh2 0.3670 0.1330 0.0000
Rh3 0.6330 0.8670 0.0000
Rh4 0.8670 0.3670 0.0000
```

Results
Energy relative to the lowest polymorph listed for this composition (meV/atom): 288
E_form (eV per formula unit): -0.46

***

[7]
Computed, not measured: a geometry-optimized Pr12Tl4CdO3 structure at the PBE-GGA level of DFT.

Structure (CIF):
```
data_Pr12Tl4CdO3
_space_group_name_H-M_alt 'P 1'
_space_group_IT_number 1
_space_group_name_Hall 'P 1'
_cell_length_a 9.0646
_cell_length_b 9.0646
_cell_length_c 9.0646
_cell_angle_alpha 109.47
_cell_angle_beta 109.47
_cell_angle_gamma 109.47
loop_
_atom_site_label
_atom_site_fract_x
_atom_site_fract_y
_atom_site_fract_z
Pr1 0.0000 0.2734 0.2734
Pr2 0.0000 0.7266 0.7266
Pr3 0.2500 0.5000 0.7500
Pr4 0.2500 0.7500 0.5000
Pr5 0.2734 0.0000 0.2734
Pr6 0.2734 0.2734 0.0000
Pr7 0.5000 0.2500 0.7500
Pr8 0.5000 0.7500 0.2500
Pr9 0.7266 0.0000 0.7266
Pr10 0.7266 0.7266 0.0000
Pr11 0.7500 0.2500 0.5000
Pr12 0.7500 0.5000 0.2500
Tl1 0.0000 0.0000 0.5000
Tl2 0.0000 0.5000 0.0000
Tl3 0.5000 0.0000 0.0000
Tl4 0.5000 0.5000 0.5000
Cd1 0.0000 0.0000 0.0000
O1 0.0000 0.5000 0.5000
O2 0.5000 0.0000 0.5000
O3 0.5000 0.5000 0.0000
```

Results
Raw total energy (eV per cell): -100.007

***

[8]
Computed, not measured: a geometry-optimized CrAgIN2 structure at the PBE-GGA level of DFT.

Structure (CIF):
```
data_CrAgIN2
_space_group_name_H-M_alt 'P 1'
_space_group_IT_number 1
_space_group_name_Hall 'P 1'
_cell_length_a 3.8031
_cell_length_b 3.8031
_cell_length_c 5.7862
_cell_angle_alpha 90.00
_cell_angle_beta 90.00
_cell_angle_gamma 90.00
loop_
_atom_site_label
_atom_site_fract_x
_atom_site_fract_y
_atom_site_fract_z
Cr1 0.0000 0.0000 0.0000
Ag1 0.5000 0.5000 0.5000
I1 0.0000 0.0000 0.5000
N1 0.0000 0.5000 0.0000
N2 0.5000 0.0000 0.0000
```

Results
Energy relative to the lowest polymorph listed for this composition (meV/atom): 0

***

[9]
Computed, not measured: a geometry-optimized PrErGe2 structure at the PBE-GGA level of DFT.

Structure (CIF):
```
data_PrErGe2
_space_group_name_H-M_alt 'P 1'
_space_group_IT_number 1
_space_group_name_Hall 'P 1'
_cell_length_a 4.0338
_cell_length_b 5.8883
_cell_length_c 5.8883
_cell_angle_alpha 43.72
_cell_angle_beta 90.00
_cell_angle_gamma 90.00
loop_
_atom_site_label
_atom_site_fract_x
_atom_site_fract_y
_atom_site_fract_z
Pr1 0.0000 0.0000 0.0000
Er1 0.5000 0.2755 0.2755
Ge1 0.0000 0.7235 0.7235
Ge2 0.5000 0.5569 0.5569
```

Results
E_form (eV per formula unit): -3.28

***

[10]
Computed, not measured: a geometry-optimized CsBaBe2 structure at the PBE-GGA level of DFT.

Structure (CIF):
```
data_CsBaBe2
_space_group_name_H-M_alt 'P 1'
_space_group_IT_number 1
_space_group_name_Hall 'P 1'
_cell_length_a 5.8072
_cell_length_b 5.8072
_cell_length_c 5.8072
_cell_angle_alpha 60.00
_cell_angle_beta 60.00
_cell_angle_gamma 60.00
loop_
_atom_site_label
_atom_site_fract_x
_atom_site_fract_y
_atom_site_fract_z
Cs1 0.0000 0.0000 0.0000
Ba1 0.5000 0.5000 0.5000
Be1 0.2500 0.2500 0.2500
Be2 0.7500 0.7500 0.7500
```

Results
E_form (eV per formula unit): 4.08

***

[11]
Computed, not measured: a geometry-optimized Cs2UIO6 structure at the PBE-GGA level of DFT.

Structure (CIF):
```
data_Cs2UIO6
_space_group_name_H-M_alt 'P 1'
_space_group_IT_number 1
_space_group_name_Hall 'P 1'
_cell_length_a 7.0014
_cell_length_b 7.0014
_cell_length_c 7.0014
_cell_angle_alpha 128.85
_cell_angle_beta 128.85
_cell_angle_gamma 75.25
loop_
_atom_site_label
_atom_site_fract_x
_atom_site_fract_y
_atom_site_fract_z
Cs1 0.2500 0.7500 0.5000
Cs2 0.7500 0.2500 0.5000
U1 0.0000 0.0000 0.0000
I1 0.5000 0.5000 0.0000
O1 0.1719 0.1719 0.0000
O2 0.2580 0.2580 0.5159
O3 0.2580 0.7420 0.0000
O4 0.7420 0.2580 0.0000
O5 0.7420 0.7420 0.4841
O6 0.8281 0.8281 0.0000
```

Results
Raw total energy (eV per cell): -63.178

***

[12]
Computed, not measured: a geometry-optimized HoZn2Ru2C structure at the PBE-GGA level of DFT.

Structure (CIF):
```
data_HoZn2Ru2C
_space_group_name_H-M_alt 'P 1'
_space_group_IT_number 1
_space_group_name_Hall 'P 1'
_cell_length_a 4.0975
_cell_length_b 4.0975
_cell_length_c 5.4446
_cell_angle_alpha 90.00
_cell_angle_beta 90.00
_cell_angle_gamma 90.00
loop_
_atom_site_label
_atom_site_fract_x
_atom_site_fract_y
_atom_site_fract_z
Ho1 0.0000 0.0000 0.0000
Zn1 0.5000 0.5000 0.2167
Zn2 0.5000 0.5000 0.7833
Ru1 0.0000 0.5000 0.5000
Ru2 0.5000 0.0000 0.5000
C1 0.0000 0.0000 0.5000
```

Results
E_form (eV per formula unit): -1.53